Record 1
Entry from Alexandria via LeMat-Bulk: a relaxed PrTmCuRh crystal (PBE).

Unit cell a=3.8375 b=4.4044 c=5.6201 alpha=90.00 beta=109.96 gamma=90.00
With the nearest neighbours (Å) after each atom.
Element x y z (fractional)
Pr: 0.1444 0.0000 0.2888  3 Rh 2.89-3.07, 4 Cu 3.02
Tm: 0.8664 0.5000 0.7329  3 Cu 2.89-3.12, 4 Rh 2.97
Cu: 0.5716 0.5000 0.1431  2 Rh 2.74, 2 Tm 2.89, 4 Pr 3.02
Rh: 0.4176 0.0000 0.8352  2 Cu 2.74, 1 Pr 2.89, 4 Tm 2.97

Values from the calculation:
E = -5.6880 eV/atom
Spin magnetization = 0.0 μB per formula unit
Formation energy from the elements = -513 meV/atom
V = 22.32 Å³ per atom

=====

Record 2
Entry from Alexandria via LeMat-Bulk: a relaxed PrTmCuRh crystal (PBE).

Unit cell a=4.9554 b=4.9554 c=4.9554 alpha=60.00 beta=60.00 gamma=60.00
With the nearest neighbours (Å) after each atom.
Element x y z (fractional)
Pr: 0.5000 0.5000 0.5000  4 Rh 3.03, 4 Cu 3.03
Tm: 0.0000 0.0000 0.0000  4 Cu 3.03, 4 Rh 3.03
Rh: 0.7500 0.7500 0.7500  4 Pr 3.03, 4 Tm 3.03
Cu: 0.2500 0.2500 0.2500  4 Pr 3.03, 4 Tm 3.03

Values from the calculation:
E = -5.6523 eV/atom
Spin magnetization = 0.0 μB per formula unit
Formation energy from the elements = -478 meV/atom
V = 21.51 Å³ per atom

=====

Record 3
Entry from Alexandria via LeMat-Bulk: a relaxed Pr2UCuRh6 crystal (PBE).

Unit cell a=6.7060 b=6.7060 c=6.7060 alpha=60.00 beta=60.00 gamma=90.00
With the nearest neighbours (Å) after each atom.
Element x y z (fractional)
Pr: 0.2500 0.7500 0.5000  12 Rh 3.35
Pr: 0.7500 0.2500 0.5000  12 Rh 3.35
U: 0.5000 0.5000 0.0000  6 Rh 2.39
Cu: 0.0000 0.0000 0.0000  6 Rh 2.35
Rh: 0.2481 0.7519 0.0000  1 Cu 2.35, 1 U 2.39
Rh: 0.7519 0.7519 0.0000  1 Cu 2.35, 1 U 2.39
Rh: 0.2481 0.2481 0.5037  1 Cu 2.35, 1 U 2.39
Rh: 0.7519 0.2481 0.0000  1 Cu 2.35, 1 U 2.39
Rh: 0.2481 0.2481 0.0000  1 Cu 2.35, 1 U 2.39
Rh: 0.7519 0.7519 0.4963  1 Cu 2.35, 1 U 2.39

Values from the calculation:
E = -7.0012 eV/atom
Spin magnetization = 0.0 μB per formula unit
Formation energy from the elements = -96 meV/atom
V = 21.32 Å³ per atom

=====

Record 4
Entry from Alexandria via LeMat-Bulk: a relaxed PrYCuRh crystal (PBE).

Unit cell a=3.8836 b=4.4515 c=5.6360 alpha=90.00 beta=110.15 gamma=90.00
With the nearest neighbours (Å) after each atom.
Element x y z (fractional)
Pr: 0.1428 0.0000 0.2855  3 Rh 2.93-3.06, 4 Cu 3.05
Y: 0.8649 0.5000 0.7297  3 Cu 2.93-3.09, 4 Rh 3.01
Cu: 0.5726 0.5000 0.1452  2 Rh 2.75, 2 Y 2.93, 4 Pr 3.05
Rh: 0.4198 0.0000 0.8396  2 Cu 2.75, 3 Pr 2.93-3.06, 4 Y 3.01

Values from the calculation:
E = -6.1655 eV/atom
Spin magnetization = 0.0 μB per formula unit
Formation energy from the elements = -493 meV/atom
V = 22.87 Å³ per atom

=====

Record 5
Entry from Alexandria via LeMat-Bulk: a relaxed PrYCuRh crystal (PBE).

Unit cell a=4.9960 b=4.9960 c=4.9960 alpha=60.00 beta=60.00 gamma=60.00
With the nearest neighbours (Å) after each atom.
Element x y z (fractional)
Pr: 0.0000 0.0000 0.0000  4 Rh 3.06, 4 Cu 3.06
Y: 0.5000 0.5000 0.5000  4 Rh 3.06, 4 Cu 3.06
Rh: 0.7500 0.7500 0.7500  4 Y 3.06, 4 Pr 3.06
Cu: 0.2500 0.2500 0.2500  4 Y 3.06, 4 Pr 3.06

Values from the calculation:
E = -6.1227 eV/atom
Spin magnetization = 0.0 μB per formula unit
Formation energy from the elements = -450 meV/atom
V = 22.04 Å³ per atom

=====

Record 6
Entry from Alexandria via LeMat-Bulk: a relaxed PrZnCuRh crystal (PBE).

Unit cell a=4.3272 b=4.3176 c=5.4615 alpha=113.39 beta=90.00 gamma=120.07
With the nearest neighbours (Å) after each atom.
Element x y z (fractional)
Pr: 0.6189 0.2379 0.5005  4 Cu 2.92-3.16, 4 Rh 3.02-3.10
Zn: 0.1148 0.2297 0.9864  3 Rh 2.55, 3 Cu 2.56
Cu: 0.8201 0.6403 0.1024  3 Zn 2.56, 3 Rh 2.71-2.73
Rh: 0.4124 0.8247 0.8782  3 Zn 2.55, 3 Cu 2.71-2.73

Values from the calculation:
E = -4.7930 eV/atom
Spin magnetization = 0.0 μB per formula unit
Formation energy from the elements = -418 meV/atom
V = 19.62 Å³ per atom

=====

Record 7
Entry from Alexandria via LeMat-Bulk: a relaxed Pr2Zn12Cu3Rh crystal (PBE).

Unit cell a=11.4992 b=11.4992 c=11.4992 alpha=29.50 beta=29.50 gamma=29.50
With the nearest neighbours (Å) after each atom.
Element x y z (fractional)
Pr: 0.6414 0.6414 0.6414  12 Zn 3.14-3.34, 3 Rh 3.48
Pr: 0.3586 0.3586 0.3586  12 Zn 3.14-3.34, 3 Rh 3.48
Zn: 0.4030 0.4030 0.8466  2 Cu 2.46, 4 Zn 2.59-2.60
Zn: 0.8969 0.8969 0.3847  1 Rh 2.56, 4 Zn 2.59-2.86
Zn: 0.3847 0.8969 0.8969  1 Rh 2.56, 4 Zn 2.59-2.86
Zn: 0.8466 0.4030 0.4030  2 Cu 2.46, 4 Zn 2.59-2.60
Zn: 0.8969 0.3847 0.8969  1 Rh 2.56, 4 Zn 2.59-2.86
Zn: 0.4030 0.8466 0.4030  2 Cu 2.46, 4 Zn 2.59-2.60
Zn: 0.5970 0.5970 0.1534  2 Cu 2.46, 4 Zn 2.59-2.60
Zn: 0.1031 0.1031 0.6153  1 Rh 2.56, 4 Zn 2.59-2.86
Zn: 0.6153 0.1031 0.1031  1 Rh 2.56, 4 Zn 2.59-2.86
Zn: 0.1534 0.5970 0.5970  2 Cu 2.46, 4 Zn 2.59-2.60
Zn: 0.1031 0.6153 0.1031  1 Rh 2.56, 4 Zn 2.59-2.86
Zn: 0.5970 0.1534 0.5970  2 Cu 2.46, 4 Zn 2.59-2.60
Cu: 0.5000 0.0000 0.0000  4 Zn 2.46
Cu: 0.0000 0.5000 0.0000  4 Zn 2.46
Cu: 0.0000 0.0000 0.5000  4 Zn 2.46
Rh: 0.0000 0.0000 0.0000  6 Zn 2.56

Values from the calculation:
E = -2.5317 eV/atom
Spin magnetization = 0.0 μB per formula unit
Formation energy from the elements = -60 meV/atom
V = 18.14 Å³ per atom

=====

Record 8
Entry from Alexandria via LeMat-Bulk: a relaxed Pr2Zn2CuRh5 crystal (PBE).

Unit cell a=3.7306 b=9.6628 c=9.6628 alpha=90.00 beta=90.00 gamma=90.00
With the nearest neighbours (Å) after each atom.
Element x y z (fractional)
Pr: 0.0000 0.6772 0.1772  3 Zn 2.74-2.94, 2 Rh 3.06
Pr: 0.0000 0.3228 0.8228  3 Zn 2.74-2.94, 2 Rh 3.06
Pr: 0.0000 0.1772 0.3228  3 Zn 2.74-2.94, 2 Rh 3.06
Pr: 0.0000 0.8228 0.6772  3 Zn 2.74-2.94, 2 Rh 3.06
Zn: 0.0000 0.1222 0.6222  6 Rh 2.50-2.59, 1 Pr 2.74
Zn: 0.0000 0.8778 0.3778  6 Rh 2.50-2.59, 1 Pr 2.74
Zn: 0.0000 0.6222 0.8778  6 Rh 2.50-2.59, 1 Pr 2.74
Zn: 0.0000 0.3778 0.1222  6 Rh 2.50-2.59, 1 Pr 2.74
Cu: 0.0000 0.0000 0.0000  8 Rh 2.76
Cu: 0.0000 0.5000 0.5000  8 Rh 2.76
Rh: 0.5000 0.2013 0.0636  2 Zn 2.59, 2 Cu 2.76, 2 Rh 2.88
Rh: 0.5000 0.7987 0.9364  2 Zn 2.59, 2 Cu 2.76, 2 Rh 2.88
Rh: 0.5000 0.0636 0.7987  2 Zn 2.59, 2 Cu 2.76, 2 Rh 2.88
Rh: 0.5000 0.7013 0.4364  2 Zn 2.59, 2 Cu 2.76, 2 Rh 2.88
Rh: 0.5000 0.9364 0.2013  2 Zn 2.59, 2 Cu 2.76, 2 Rh 2.88
Rh: 0.5000 0.2987 0.5636  2 Zn 2.59, 2 Cu 2.76, 2 Rh 2.88
Rh: 0.5000 0.5636 0.7013  2 Zn 2.59, 2 Cu 2.76, 2 Rh 2.88
Rh: 0.5000 0.4364 0.2987  2 Zn 2.59, 2 Cu 2.76, 2 Rh 2.88
Rh: 0.5000 0.5000 0.0000  4 Zn 2.50
Rh: 0.5000 0.0000 0.5000  4 Zn 2.50

Values from the calculation:
E = -5.6583 eV/atom
Spin magnetization = 0.0 μB per formula unit
Formation energy from the elements = -362 meV/atom
V = 17.42 Å³ per atom